[1]
Computed, not measured: crystalline KMgGa2 at its relaxed geometry at the PBE level of DFT.

Structure (POSCAR):
```
KMgGa2
1.0
4.691 0.000 0.000
-2.346 4.063 0.000
0.000 0.000 18.654
K Mg Ga
3 3 6
Cartesian
0.000 0.000 0.000
0.000 2.709 12.436
2.346 1.354 6.218
0.000 0.000 9.327
0.000 2.709 3.109
2.346 1.354 15.545
0.000 0.000 3.694
0.000 0.000 14.960
0.000 2.709 8.742
0.000 2.709 16.130
2.346 1.354 2.524
2.346 1.354 9.912
```

Values from the calculation:
The calculation puts the electronic total energy at -2.224 eV per atom. As for the density: 2.84 g/cm3. The space group is R-3m. The calculation puts the spin magnetization at 0.00 μB/f.u.

[2]
Computed, not measured: crystalline KMgGa at its relaxed geometry at the PBE level of DFT.

Structure (POSCAR):
```
KMgGa
1.0
4.806 0.000 0.000
0.000 4.806 0.000
0.000 0.000 8.190
K Mg Ga
2 2 2
Cartesian
1.202 1.202 1.203
3.605 3.605 6.987
1.202 3.605 4.095
3.605 1.202 4.095
1.202 1.202 5.592
3.605 3.605 2.598
```

Values from the calculation:
Its offset from the most stable computed form is 41 meV/atom. As for the density: 2.34 g/cm3. The space group is P4/nmm. The calculation puts the spin magnetization at 0.00 μB/f.u.

[3]
Computed, not measured: crystalline KMg3Ga at its relaxed geometry at the PBE level of DFT.

Structure (POSCAR):
```
KMg3Ga
1.0
6.143 0.000 0.000
0.000 6.143 0.000
0.000 0.000 6.143
K Mg Ga
1 3 1
Cartesian
0.000 0.000 0.000
0.000 0.000 3.071
0.000 3.071 0.000
3.071 0.000 0.000
3.071 3.071 3.071
```

Values from the calculation:
Its offset from the most stable computed form is 925 meV/atom. As for the density: 1.30 g/cm3. The space group is Pm-3m. The calculation puts the spin magnetization at 0.00 μB/f.u.

[4]
Computed, not measured: crystalline KMgGa at its relaxed geometry at the PBE level of DFT.

Structure (POSCAR):
```
KMgGa
1.0
3.753 0.000 0.000
0.000 3.753 0.000
0.000 0.000 12.970
K Mg Ga
2 2 2
Cartesian
0.000 0.000 0.000
1.876 1.876 6.485
0.000 0.000 3.605
1.876 1.876 10.090
0.000 0.000 9.034
1.876 1.876 2.549
```

Values from the calculation:
Its offset from the most stable computed form is 105 meV/atom. As for the density: 2.42 g/cm3. The space group is I4mm. The calculation puts the spin magnetization at 0.00 μB/f.u.

[5]
Computed, not measured: crystalline KMg6Ga at its relaxed geometry at the PBE level of DFT.

Structure (POSCAR):
```
KMg6Ga
1.0
5.056 0.000 0.000
0.000 6.337 0.000
0.000 0.000 13.228
K Mg Ga
2 12 2
Cartesian
0.000 0.000 0.000
0.000 3.169 6.614
0.000 1.483 3.545
0.000 1.686 10.159
0.000 4.652 10.159
0.000 4.854 3.545
2.528 0.000 5.156
2.528 0.000 10.963
2.528 1.536 8.260
2.528 1.632 1.646
2.528 3.169 4.349
2.528 3.169 11.770
2.528 4.705 1.646
2.528 4.801 8.260
0.000 0.000 7.868
0.000 3.169 1.254
```

Values from the calculation:
Its offset from the most stable computed form is 5 meV/atom. As for the density: 2.00 g/cm3. The space group is Amm2. The calculation puts the spin magnetization at 0.00 μB/f.u.

[6]
Computed, not measured: crystalline KMg14Ga at its relaxed geometry at the PBE level of DFT.

Structure (POSCAR):
```
KMg14Ga
1.0
6.527 0.000 0.000
-3.263 5.652 0.000
0.000 0.000 10.424
K Mg Ga
1 14 1
Cartesian
0.000 0.000 0.000
-1.591 2.850 0.000
0.000 1.905 2.787
0.000 1.905 7.636
-1.614 4.700 2.787
-1.614 4.700 7.636
1.591 2.850 0.000
0.000 5.605 0.000
3.263 0.058 5.212
1.682 2.797 5.212
1.614 4.700 2.787
1.614 4.700 7.636
3.263 1.884 2.542
3.263 1.884 7.881
4.844 2.797 5.212
0.000 0.000 5.212
```

Values from the calculation:
Its offset from the most stable computed form is 14 meV/atom. As for the density: 1.94 g/cm3. The space group is P-6m2. The calculation puts the spin magnetization at 0.00 μB/f.u.

[7]
Computed, not measured: crystalline KMgGa4 at its relaxed geometry at the PBE level of DFT.

Structure (POSCAR):
```
KMgGa4
1.0
0.000 4.034 4.034
4.034 0.000 4.034
4.034 4.034 0.000
K Mg Ga
1 1 4
Cartesian
0.000 0.000 0.000
6.050 6.050 6.050
3.030 3.030 3.030
5.037 5.037 3.030
5.037 3.030 5.037
3.030 5.037 5.037
```

Values from the calculation:
The calculation puts the electronic total energy at -2.501 eV per atom. As for the density: 4.33 g/cm3. The space group is F-43m. The calculation puts the spin magnetization at 0.00 μB/f.u.

[8]
Computed, not measured: crystalline KMg2GaNi at its relaxed geometry at the PBE level of DFT.

Structure (POSCAR):
```
KMg2GaNi
1.0
5.027 0.000 0.000
0.000 5.027 0.000
0.000 0.000 4.688
K Mg Ga Ni
1 2 1 1
Cartesian
0.000 0.000 0.000
0.000 2.513 2.344
2.513 0.000 2.344
2.513 2.513 0.000
2.513 2.513 2.344
```

Values from the calculation:
The calculation puts the electronic total energy at -2.686 eV per atom. As for the density: 3.03 g/cm3. The space group is P4/mmm. The calculation puts the spin magnetization at 0.00 μB/f.u.

[9]
Computed, not measured: crystalline KMg6GaO8 at its relaxed geometry at the PBE level of DFT.

Structure (POSCAR):
```
KMg6GaO8
1.0
4.438 0.000 0.000
0.000 4.438 0.000
0.000 0.000 8.683
K Mg Ga O
1 6 1 8
Cartesian
0.000 0.000 0.000
0.000 0.000 4.341
0.000 2.219 2.189
0.000 2.219 6.494
2.219 0.000 2.189
2.219 0.000 6.494
2.219 2.219 4.341
2.219 2.219 0.000
0.000 0.000 2.396
0.000 0.000 6.287
0.000 2.219 0.000
0.000 2.219 4.341
2.219 0.000 0.000
2.219 0.000 4.341
2.219 2.219 2.040
2.219 2.219 6.643
```

Values from the calculation:
Its offset from the most stable computed form is 48 meV/atom. As for the density: 3.72 g/cm3. The value obtained for the uncorrected formation energy is -2160 meV/atom. The space group is P4/mmm. The calculation puts the spin magnetization at 0.00 μB/f.u.

[10]
Computed, not measured: crystalline KMgGaO3 at its relaxed geometry at the PBE level of DFT.

Structure (POSCAR):
```
KMgGaO3
1.0
1.537 -6.286 0.000
1.537 6.286 0.000
0.000 0.000 11.006
K Mg Ga O
2 2 2 6
Cartesian
1.537 3.926 8.254
1.537 -3.926 2.751
0.000 0.000 0.000
0.000 0.000 5.503
1.537 0.580 8.254
1.537 -0.580 2.751
1.537 4.612 2.751
1.537 0.521 1.242
1.537 0.521 4.261
1.537 -0.521 6.745
1.537 -0.521 9.764
1.537 -4.612 8.254
```

Values from the calculation:
As for the density: 2.83 g/cm3. The value obtained for the uncorrected formation energy is -1995 meV/atom. The space group is Cmcm. The calculation puts the spin magnetization at 0.00 μB/f.u.

[11]
Computed, not measured: crystalline KMg6GaO8 at its relaxed geometry at the PBE level of DFT.

Structure (POSCAR):
```
KMg6GaO8
1.0
4.518 0.000 0.000
0.000 4.518 0.000
0.000 0.000 8.469
K Mg Ga O
1 6 1 8
Cartesian
0.000 0.000 0.000
0.000 2.259 2.077
0.000 2.259 6.393
2.259 0.000 2.077
2.259 0.000 6.393
2.259 2.259 0.000
2.259 2.259 4.235
0.000 0.000 4.235
0.000 0.000 2.412
0.000 0.000 6.058
0.000 2.259 0.000
0.000 2.259 4.235
2.259 0.000 0.000
2.259 0.000 4.235
2.259 2.259 2.145
2.259 2.259 6.324
```

Values from the calculation:
Its offset from the most stable computed form is 0 meV/atom. As for the density: 3.68 g/cm3. The value obtained for the uncorrected formation energy is -2208 meV/atom. The space group is P4/mmm. The calculation puts the spin magnetization at 0.00 μB/f.u.

[12]
Computed, not measured: crystalline KMg2GaOs at its relaxed geometry at the PBE level of DFT.

Structure (POSCAR):
```
KMg2GaOs
1.0
5.143 0.000 0.000
0.000 5.143 0.000
0.000 0.000 4.894
K Mg Ga Os
1 2 1 1
Cartesian
0.000 0.000 0.000
0.000 2.571 2.447
2.571 0.000 2.447
2.571 2.571 0.000
2.571 2.571 2.447
```

Values from the calculation:
The calculation puts the electronic total energy at -3.606 eV per atom. As for the density: 4.46 g/cm3. The space group is P4/mmm. The calculation puts the spin magnetization at 0.00 μB/f.u.